[1]
DFT (PBE-GGA) results for a geometry-optimized Sr2LaTl structure.

Values from the calculation:
Energy above the most stable polymorph in this dataset (meV per atom): 113
ΔE_f (eV/atom): -0.05
Total magnetic moment (μB/atom): 0.1188

abc: 3.9687 3.9687 35.9314
angles: 90.00 90.00 120.00
Space group R-3m (No. 166, hexagonal axes)
Asymmetric unit:
Sr: 0.0000 0.0000 0.2400 (multiplicity 6)
La: 0.0000 0.0000 0.0000 (multiplicity 3)
Tl: 0.0000 0.0000 0.5000 (multiplicity 3)



[2]
DFT (PBE-GGA) results for a geometry-optimized Sr2ReN4 structure.

Values from the calculation:
Energy above the most stable polymorph in this dataset (meV per atom): 552
Total magnetic moment (μB/atom): 0.3504
E_form (uncorrected) (eV/atom): 0.052

abc: 5.980 5.980 3.500
angles: 90.00 90.00 90.00
Space group P4/mmm (No. 123)
Asymmetric unit:
Sr: 0.000 0.500 0.000 (multiplicity 2)
Re: 0.000 0.000 0.500 (multiplicity 1)
N: 0.224 0.224 0.500 (multiplicity 4)



[3]
DFT (PBE-GGA) results for a geometry-optimized Li2AlMo structure.

Values from the calculation:
ΔE_f (eV/atom): 0.13
Total magnetic moment (μB/atom): 0.0000

abc: 2.624 4.875 4.853
angles: 90.00 92.89 90.00
Space group P2/m (No. 10)
Asymmetric unit:
Li: 0.205 0.000 0.234 (multiplicity 2)
Al: 0.000 0.500 0.500 (multiplicity 1)
Mo: 0.500 0.500 0.000 (multiplicity 1)



[4]
DFT (PBE-GGA) results for a geometry-optimized MgCd8Rh2 structure.

Values from the calculation:
Energy above the most stable polymorph in this dataset (meV per atom): 24
ΔE_f (eV/atom): -0.05
Total magnetic moment (μB/atom): 0.0000

abc: 8.694 11.297 4.586
angles: 90.00 90.00 90.00
Space group Cmmm (No. 65)
Asymmetric unit:
Mg: 0.000 0.000 0.000 (multiplicity 2)
Cd: 0.000 0.256 0.000 (multiplicity 4)
Cd: 0.165 0.500 0.000 (multiplicity 4)
Cd: 0.174 0.136 0.500 (multiplicity 8)
Rh: 0.000 0.383 0.500 (multiplicity 4)



[5]
DFT (PBE-GGA) results for a geometry-optimized AcLaNdTm structure.

Values from the calculation:
Energy above the most stable polymorph in this dataset (meV per atom): 103
ΔE_f (eV/atom): 0.17
Total magnetic moment (μB/atom): 0.2511

abc: 8.414 8.414 8.414
angles: 90.00 90.00 90.00
Space group F-43m (No. 216)
Asymmetric unit:
Ac: 0.000 0.000 0.000 (multiplicity 4)
La: 0.250 0.250 0.250 (multiplicity 4)
Nd: 0.250 0.250 0.750 (multiplicity 4)
Tm: 0.000 0.000 0.500 (multiplicity 4)



[6]
DFT (PBE-GGA) results for a geometry-optimized NaAgOs3 structure.

Values from the calculation:
Energy above the most stable polymorph in this dataset (meV per atom): 200
ΔE_f (eV/atom): 3.10
Total magnetic moment (μB/atom): 0.8013

abc: 4.501 4.501 4.501
angles: 90.00 90.00 90.00
Space group Pm-3m (No. 221)
Asymmetric unit:
Na: 0.000 0.000 0.000 (multiplicity 1)
Ag: 0.500 0.500 0.500 (multiplicity 1)
Os: 0.000 0.000 0.500 (multiplicity 3)



| no. | final energy (eV for the cell shown) | N(E_F) (states/eV/f.u.) |
| --- | --- | --- |
| 1 | -32.6 | 5.040 |
| 2 | -48.8 | 2.937 |
| 3 | -17.9 | 1.853 |
| 4 | -48.4 | 3.857 |
| 5 | -70.4 | 10.425 |
| 6 | -22.4 | 5.237 |